[1]
Mg2BeTl: relaxed, PBEsol.

abc: 4.464 4.476 7.935
angles: 90.00 90.00 90.00
Space group Cmm2 (No. 35)
Symmetry-distinct sites (fractional):
Mg: 0.000 0.000 0.000 [2 per cell]
Mg: 0.000 0.500 0.290 [2 per cell]
Be: 0.000 0.000 0.489 [2 per cell]
Tl: 0.000 0.500 0.704 [2 per cell]

**Spin magnetization**: 0.00 μB/atom
**Volume**: 158.5 Å³ per cell
**Energy relative to the elements**: 6.84 kcal/mol of atoms



[2]
KNbIN2: relaxed, PBEsol.

abc: 4.642 4.642 5.974
angles: 90.00 90.00 90.00
Space group P4/mmm (No. 123)
Symmetry-distinct sites (fractional):
K: 0.000 0.000 0.000 [1 per cell]
Nb: 0.500 0.500 0.500 [1 per cell]
I: 0.000 0.000 0.500 [1 per cell]
N: 0.000 0.500 0.000 [2 per cell]

**Spin magnetization**: 0.20 μB/atom
**Volume**: 128.7 Å³ per cell
**Excess energy over the best structure of this formula in the dataset**: 2437 meV/atom
**Formation energy without anion corrections**: 2.403 eV per atom



[3]
LiAl4: relaxed, PBEsol.

abc: 6.409 6.409 3.934
angles: 90.00 90.00 90.00
Space group I4/m (No. 87)
Symmetry-distinct sites (fractional):
Li: 0.000 0.000 0.000 [2 per cell]
Al: 0.098 0.702 0.500 [8 per cell]

**Spin magnetization**: 0.00 μB/atom
**Volume**: 161.6 Å³ per cell
**Energy relative to the elements**: -1.15 kcal/mol of atoms



[4]
Y2MgCd2: relaxed, PBEsol.

abc: 7.934 7.934 4.055
angles: 90.00 90.00 90.00
Space group P4/mbm (No. 127)
Symmetry-distinct sites (fractional):
Y: 0.167 0.333 0.000 [4 per cell]
Mg: 0.000 0.000 0.500 [2 per cell]
Cd: 0.131 0.631 0.500 [4 per cell]

**Spin magnetization**: 0.00 μB/atom
**Volume**: 255.3 Å³ per cell
**Energy relative to the elements**: -6.41 kcal/mol of atoms
**Excess energy over the best structure of this formula in the dataset**: 0 meV/atom



[5]
MgNbAlH2: relaxed, PBEsol.

abc: 3.822 3.822 5.319
angles: 90.00 90.00 90.00
Space group P4/mmm (No. 123)
Symmetry-distinct sites (fractional):
Mg: 0.000 0.000 0.000 [1 per cell]
Nb: 0.500 0.500 0.000 [1 per cell]
Al: 0.500 0.500 0.500 [1 per cell]
H: 0.000 0.500 0.500 [2 per cell]

**Spin magnetization**: 0.08 μB/atom
**Volume**: 77.7 Å³ per cell
**Final energy**: -18.3 eV for the cell shown



[6]
VInO4: relaxed, PBEsol.

abc: 5.745 8.541 6.645
angles: 90.00 90.00 90.00
Space group Cmcm (No. 63)
Symmetry-distinct sites (fractional):
V: 0.000 0.140 0.250 [4 per cell]
In: 0.000 0.500 0.000 [4 per cell]
O: 0.000 0.252 0.045 [8 per cell]
O: 0.243 0.475 0.750 [8 per cell]

**Spin magnetization**: 0.00 μB/atom
**Volume**: 326.0 Å³ per cell
**Formation energy without anion corrections**: -2.047 eV per atom



[7]
Li2OsC: relaxed, PBEsol.

abc: 6.702 6.702 3.935
angles: 90.00 90.00 90.00
Space group I-42d (No. 122)
Symmetry-distinct sites (fractional):
Li: 0.173 0.250 0.125 [8 per cell]
Os: 0.000 0.000 0.500 [4 per cell]
C: 0.000 0.000 0.000 [4 per cell]

**Spin magnetization**: 0.00 μB/atom
**Volume**: 176.8 Å³ per cell
**Energy relative to the elements**: 13.16 kcal/mol of atoms



[8]
Dy3Ag4Sn4: relaxed, PBEsol.

abc: 4.502 7.234 15.020
angles: 90.00 90.00 90.00
Space group Immm (No. 71)
Symmetry-distinct sites (fractional):
Dy: 0.000 0.000 0.000 [2 per cell]
Dy: 0.000 0.500 0.128 [4 per cell]
Ag: 0.000 0.302 0.328 [8 per cell]
Sn: 0.000 0.000 0.215 [4 per cell]
Sn: 0.000 0.197 0.500 [4 per cell]

**Spin magnetization**: 0.00 μB/atom
**Volume**: 489.2 Å³ per cell
**Energy relative to the elements**: -12.38 kcal/mol of atoms



[9]
InSiNi: relaxed, PBEsol.

abc: 5.996 5.996 5.996
angles: 90.00 90.00 90.00
Space group F-43m (No. 216)
Symmetry-distinct sites (fractional):
In: 0.000 0.000 0.000 [4 per cell]
Si: 0.250 0.250 0.750 [4 per cell]
Ni: 0.250 0.250 0.250 [4 per cell]

**Spin magnetization**: 0.00 μB/atom
**Volume**: 215.5 Å³ per cell
**Formation energy without anion corrections**: 0.490 eV per atom



[10]
Ta2CBr: relaxed, PBEsol.

abc: 5.182 5.182 11.175
angles: 90.00 90.00 90.00
Space group I-42d (No. 122)
Symmetry-distinct sites (fractional):
Ta: 0.142 0.250 0.125 [8 per cell]
C: 0.000 0.000 0.000 [4 per cell]
Br: 0.000 0.000 0.500 [4 per cell]

**Spin magnetization**: 0.00 μB/atom
**Volume**: 300.1 Å³ per cell
**Formation energy without anion corrections**: 0.578 eV per atom



[11]
NiP2Se: relaxed, PBEsol.

abc: 6.075 6.075 6.075
angles: 90.00 90.00 90.00
Space group F-43m (No. 216)
Symmetry-distinct sites (fractional):
Ni: 0.000 0.000 0.000 [4 per cell]
P: 0.000 0.000 0.500 [4 per cell]
P: 0.250 0.250 0.250 [4 per cell]
Se: 0.250 0.250 0.750 [4 per cell]

**Spin magnetization**: 0.00 μB/atom
**Volume**: 224.2 Å³ per cell
**Formation energy without anion corrections**: 0.463 eV per atom



[12]
PPt3: relaxed, PBEsol.

abc: 4.650 4.650 2.742
angles: 90.00 90.00 90.00
Space group P4/mmm (No. 123)
Symmetry-distinct sites (fractional):
P: 0.000 0.000 0.000 [1 per cell]
Pt: 0.000 0.500 0.500 [2 per cell]
Pt: 0.500 0.500 0.000 [1 per cell]

**Spin magnetization**: 0.00 μB/atom
**Volume**: 59.3 Å³ per cell
**Energy relative to the elements**: 1.33 kcal/mol of atoms
**Excess energy over the best structure of this formula in the dataset**: 258 meV/atom



[13]
ScFe4: relaxed, PBEsol.

abc: 5.552 5.552 4.071
angles: 90.00 90.00 90.00
Space group I4/m (No. 87)
Symmetry-distinct sites (fractional):
Sc: 0.000 0.000 0.000 [2 per cell]
Fe: 0.069 0.304 0.500 [8 per cell]

**Spin magnetization**: 1.60 μB/atom
**Volume**: 125.5 Å³ per cell
**Energy relative to the elements**: 2.43 kcal/mol of atoms